Entry 1:
The following is a DFT calculation (GGA-PBE) of a geometry-optimized MgTaMo2 structure.

Results
- Energy of formation from the pure elements: 0.389 eV per atom
- Total magnetic moment: 0.000 μB/cell
- E_tot: -100.7 eV per cell

CIF file:
```
data_MgTaMo2
_cell_length_a 2.8382
_cell_length_b 2.8382
_cell_length_c 29.8839
_cell_angle_alpha 90.00
_cell_angle_beta 90.00
_cell_angle_gamma 120.00
_space_group_name_H-M_alt 'R -3 m'
_space_group_IT_number 166
_space_group_name_Hall '-R 3 2"'
loop_
_atom_site_label
_atom_site_fract_x
_atom_site_fract_y
_atom_site_fract_z
Mg1 0.0000 0.0000 0.0000
Ta1 0.0000 0.0000 0.5000
Mo1 0.0000 0.0000 0.2501
```


Entry 2:
The following is a DFT calculation (GGA-PBE) of a geometry-optimized MgTaMo2 structure.

Results
- Energy of formation from the pure elements: 0.207 eV per atom
- Total magnetic moment: 0.000 μB/cell
- E_tot: -68.6 eV per cell

CIF file:
```
data_MgTaMo2
_cell_length_a 5.676
_cell_length_b 9.167
_cell_length_c 2.718
_cell_angle_alpha 90.00
_cell_angle_beta 107.21
_cell_angle_gamma 90.00
_space_group_name_H-M_alt 'C 1 2/m 1'
_space_group_IT_number 12
loop_
_space_group_symop_operation_xyz
'x,y,z'
'-x,-y,-z'
'-x,y,-z'
'x,-y,z'
'x+1/2,y+1/2,z'
'-x+1/2,-y+1/2,-z'
'-x+1/2,y+1/2,-z'
'x+1/2,-y+1/2,z'
loop_
_atom_site_label
_atom_site_fract_x
_atom_site_fract_y
_atom_site_fract_z
Mg1 0.000 0.000 0.000
Ta1 0.000 0.500 0.000
Mo1 0.250 0.250 0.500
```


Entry 3:
The following is a DFT calculation (GGA-PBE) of a geometry-optimized MgTaMo structure.

Results
- Polymorph energy (0 for the lowest one): 18 meV/atom
- Energy of formation from the pure elements: 0.209 eV per atom
- Total magnetic moment: 0.000 μB/cell
- E_tot: -23.7 eV per cell

CIF file:
```
data_MgTaMo
_cell_length_a 4.7089
_cell_length_b 4.7089
_cell_length_c 2.7323
_cell_angle_alpha 90.00
_cell_angle_beta 90.00
_cell_angle_gamma 120.00
_space_group_name_H-M_alt 'P 3 m 1'
_space_group_IT_number 156
loop_
_space_group_symop_operation_xyz
'x,y,z'
'-y,x-y,z'
'-x+y,-x,z'
'-y,-x,z'
'-x+y,y,z'
'x,x-y,z'
loop_
_atom_site_label
_atom_site_fract_x
_atom_site_fract_y
_atom_site_fract_z
Mg1 0.0000 0.0000 0.0000
Ta1 0.3333 0.6667 0.6145
Mo1 0.6667 0.3333 0.3236
```


Entry 4:
The following is a DFT calculation (GGA-PBE) of a geometry-optimized MgTaMo3 structure.

Results
- Polymorph energy (0 for the lowest one): 0 meV/atom
- Energy of formation from the pure elements: 1.613 eV per atom
- Total magnetic moment: 0.000 μB/cell
- E_tot: -37.9 eV per cell

CIF file:
```
data_MgTaMo3
_cell_length_a 4.805
_cell_length_b 4.805
_cell_length_c 4.805
_cell_angle_alpha 90.00
_cell_angle_beta 90.00
_cell_angle_gamma 90.00
_space_group_name_H-M_alt 'P m -3 m'
_space_group_IT_number 221
_space_group_name_Hall '-P 4 2 3'
loop_
_atom_site_label
_atom_site_fract_x
_atom_site_fract_y
_atom_site_fract_z
Mg1 0.000 0.000 0.000
Ta1 0.500 0.500 0.500
Mo1 0.000 0.500 0.500
```